DFT (PBE) results for a geometry-optimized Na4Ho3USe8 structure.

Values from the calculation:
The value obtained for the energy is -83.10 eV for the cell shown. The space-group type is R-3m (166). The uncorrected formation energy comes out at -1.558 eV/atom. The total magnetization comes out at 0.188 μB per atom.

Geometry as POSCAR:
```
Na4Ho3USe8
1.0
8.281 0.000 0.000
0.000 8.490 0.136
-4.141 -4.137 5.859
Se Na Ho U
8 4 3 1
direct
0.755 0.269 0.014
0.743 0.729 0.486
0.740 0.731 0.986
0.245 0.731 0.986
0.260 0.269 0.014
0.755 0.269 0.509
0.257 0.271 0.514
0.245 0.731 0.491
0.000 0.000 0.500
0.000 0.000 0.000
0.500 0.000 0.000
0.500 0.000 0.500
0.500 0.500 0.500
0.500 0.500 0.000
0.000 0.500 0.500
0.000 0.500 0.000
```

DFT (PBE) results for a geometry-optimized NaYHo4Se8 structure.

Values from the calculation:
The value obtained for the energy is -78.74 eV for the cell shown. The space-group type is R3m (160). The uncorrected formation energy comes out at -1.769 eV/atom. The total magnetization comes out at 0.000 μB per atom.

Geometry as POSCAR:
```
NaYHo4Se8
1.0
-3.739 -7.199 2.269
2.011 -3.669 7.312
-5.553 -0.040 6.360
Se Ho Na Y
8 4 1 1
direct
0.241 0.779 0.738
0.226 0.757 0.259
0.757 0.757 0.259
0.241 0.241 0.738
0.757 0.226 0.259
0.779 0.241 0.738
0.758 0.758 0.725
0.240 0.240 0.281
0.625 0.625 0.124
0.485 0.005 0.505
0.005 0.005 0.505
0.005 0.485 0.505
0.374 0.374 0.877
0.005 0.005 0.985
```

DFT (PBE) results for a geometry-optimized Na2YHo3Se6 structure.

Values from the calculation:
The value obtained for the energy is -64.31 eV for the cell shown. The space-group type is C2/m (12). The uncorrected formation energy comes out at -1.714 eV/atom. The total magnetization comes out at 0.000 μB per atom.

Geometry as POSCAR:
```
Na2YHo3Se6
1.0
7.084 0.003 0.002
-3.538 6.137 0.002
-1.181 -2.045 6.764
Se Ho Na Y
6 3 2 1
direct
0.415 0.085 0.255
0.757 0.757 0.259
0.243 0.243 0.741
0.915 0.585 0.745
0.085 0.415 0.255
0.585 0.915 0.745
0.169 0.831 0.500
0.831 0.169 0.500
0.500 0.500 0.500
0.334 0.666 0.000
0.666 0.334 0.000
0.000 0.000 0.000
```

DFT (PBE) results for a geometry-optimized NaY2Ho3Se6 structure.

Values from the calculation:
The value obtained for the energy is -69.74 eV for the cell shown. The space-group type is C2/m (12). The uncorrected formation energy comes out at -1.738 eV/atom. The total magnetization comes out at 0.000 μB per atom.

Geometry as POSCAR:
```
NaY2Ho3Se6
1.0
4.068 0.000 0.000
0.000 8.205 0.288
-2.034 -2.371 8.597
Y Ho Se Na
2 3 6 1
direct
0.170 0.343 0.339
0.830 0.657 0.661
0.165 0.826 0.330
0.500 0.500 0.000
0.835 0.174 0.670
0.001 0.254 0.002
0.336 0.414 0.671
0.999 0.746 0.998
0.668 0.081 0.337
0.664 0.586 0.329
0.332 0.919 0.663
0.500 0.000 0.000
```

DFT (PBE) results for a geometry-optimized Na4Y3HoSe8 structure.

Values from the calculation:
The value obtained for the energy is -84.54 eV for the cell shown. The space-group type is R-3m (166). The uncorrected formation energy comes out at -1.714 eV/atom. The total magnetization comes out at 0.000 μB per atom.

Geometry as POSCAR:
```
Na4Y3HoSe8
1.0
8.287 0.000 0.000
0.000 8.489 0.132
-4.144 -4.140 5.863
Na Y Se Ho
4 3 8 1
direct
0.000 0.000 0.500
0.000 0.000 0.000
0.500 0.000 0.500
0.500 0.000 0.000
0.000 0.500 0.500
0.500 0.500 0.000
0.500 0.500 0.500
0.757 0.271 0.515
0.744 0.729 0.987
0.243 0.729 0.987
0.257 0.270 0.513
0.243 0.729 0.485
0.757 0.271 0.013
0.256 0.271 0.013
0.743 0.730 0.487
0.000 0.500 0.000
```

DFT (PBE) results for a geometry-optimized NaY3Ho3Se8 structure.

Values from the calculation:
The value obtained for the energy is -88.97 eV for the cell shown. The space-group type is R-3m (166). The uncorrected formation energy comes out at -1.776 eV/atom. The total magnetization comes out at 0.000 μB per atom.

Geometry as POSCAR:
```
NaY3Ho3Se8
1.0
-3.560 6.821 2.594
-4.123 -5.210 -4.667
1.808 -1.973 7.669
Se Ho Y Na
8 3 3 1
direct
0.745 0.490 0.247
0.744 0.998 0.753
0.256 0.002 0.247
0.749 0.498 0.748
0.255 0.510 0.753
0.745 0.002 0.247
0.255 0.998 0.753
0.251 0.502 0.252
0.500 0.500 0.500
0.500 0.000 0.500
0.000 0.500 0.500
0.000 0.500 0.000
0.500 0.500 0.000
0.000 0.000 0.000
0.000 0.000 0.500
```

DFT (PBE) results for a geometry-optimized NaY2HoSe4 structure.

Values from the calculation:
The value obtained for the energy is -46.63 eV for the cell shown. The space-group type is P2/m (10). The uncorrected formation energy comes out at -1.734 eV/atom. The total magnetization comes out at 0.000 μB per atom.

Geometry as POSCAR:
```
NaY2HoSe4
1.0
4.071 0.000 0.000
0.000 7.115 -0.165
0.000 2.471 6.672
Y Se Ho Na
2 4 1 1
direct
0.000 0.000 0.000
0.500 0.000 0.500
0.500 0.748 0.252
0.000 0.752 0.746
0.000 0.248 0.254
0.500 0.252 0.748
0.000 0.500 0.500
0.500 0.500 0.000
```

DFT (PBE) results for a geometry-optimized NaY4HoSe8 structure.

Values from the calculation:
The value obtained for the energy is -84.54 eV for the cell shown. The space-group type is R3m (160). The uncorrected formation energy comes out at -1.779 eV/atom. The total magnetization comes out at 0.000 μB per atom.

Geometry as POSCAR:
```
NaY4HoSe8
1.0
-8.374 1.256 0.064
-5.209 -6.301 2.203
-4.176 0.329 7.341
Se Y Na Ho
8 4 1 1
direct
0.780 0.239 0.742
0.759 0.759 0.257
0.240 0.240 0.279
0.759 0.225 0.257
0.225 0.759 0.257
0.758 0.758 0.726
0.239 0.780 0.742
0.239 0.239 0.742
0.485 0.005 0.505
0.005 0.485 0.505
0.625 0.625 0.126
0.005 0.005 0.505
0.375 0.375 0.874
0.005 0.005 0.985
```

DFT (PBE) results for a geometry-optimized Na3YHo2Se6 structure.

Values from the calculation:
The value obtained for the energy is -61.00 eV for the cell shown. The space-group type is C2/m (12). The uncorrected formation energy comes out at -1.710 eV/atom. The total magnetization comes out at 0.000 μB per atom.

Geometry as POSCAR:
```
Na3YHo2Se6
1.0
7.161 -0.001 0.000
-3.580 6.202 0.000
-1.194 -2.068 7.010
Y Se Na Ho
1 6 3 2
direct
0.000 0.000 0.000
0.589 0.924 0.771
0.411 0.076 0.229
0.258 0.258 0.771
0.076 0.411 0.229
0.742 0.742 0.229
0.924 0.589 0.771
0.500 0.500 0.500
0.166 0.834 0.500
0.834 0.166 0.500
0.667 0.333 0.000
0.333 0.667 0.000
```

DFT (PBE) results for a geometry-optimized NaYHo2Se4 structure.

Values from the calculation:
The value obtained for the energy is -44.69 eV for the cell shown. The space-group type is P2/m (10). The uncorrected formation energy comes out at -1.726 eV/atom. The total magnetization comes out at 0.000 μB per atom.

Geometry as POSCAR:
```
NaYHo2Se4
1.0
4.062 0.000 0.000
0.000 7.107 -0.166
0.000 2.468 6.666
Na Y Ho Se
1 1 2 4
direct
0.500 0.500 0.000
0.000 0.500 0.500
0.500 0.000 0.500
0.000 0.000 0.000
0.500 0.248 0.751
0.500 0.752 0.249
0.000 0.244 0.254
0.000 0.756 0.746
```

DFT (PBE) results for a geometry-optimized Na2HoZr2Se6 structure.

Values from the calculation:
The value obtained for the energy is -61.22 eV for the cell shown. The space-group type is C2/m (12). The uncorrected formation energy comes out at -1.455 eV/atom. The total magnetization comes out at 0.000 μB per atom.

Geometry as POSCAR:
```
Na2HoZr2Se6
1.0
-3.241 -2.548 5.398
2.408 -4.135 -4.820
6.527 1.730 3.340
Na Se Zr Ho
2 6 2 1
direct
0.163 0.837 0.000
0.837 0.163 0.000
0.727 0.727 0.724
0.926 0.582 0.276
0.273 0.273 0.276
0.074 0.418 0.724
0.418 0.074 0.724
0.582 0.926 0.276
0.333 0.667 0.500
0.667 0.333 0.500
0.000 0.000 0.500
```

DFT (PBE) results for a geometry-optimized Na2Ho2ZrSe6 structure.

Values from the calculation:
The value obtained for the energy is -58.74 eV for the cell shown. The space-group type is C2/m (12). The uncorrected formation energy comes out at -1.590 eV/atom. The total magnetization comes out at 0.000 μB per atom.

Geometry as POSCAR:
```
Na2Ho2ZrSe6
1.0
6.970 0.003 0.070
-3.443 6.061 0.070
-1.254 -2.155 7.048
Ho Se Na Zr
2 6 2 1
direct
0.667 0.333 0.500
0.333 0.667 0.500
0.604 0.925 0.277
0.075 0.396 0.723
0.396 0.075 0.723
0.925 0.604 0.277
0.756 0.756 0.722
0.244 0.244 0.278
0.831 0.169 0.000
0.169 0.831 0.000
0.000 0.000 0.500
```